Record 1
A plane-wave DFT calculation with PBE was carried out for crystalline K4Rb3O4 at its relaxed geometry.

Lattice parameters (Å, degrees): 4.025 6.817 10.471 90.00 90.00 107.17
Each line ends with the local moment (μB).
Element x y z (fractional)
K 0.071 0.143 0.243  0.00
K 0.634 0.268 0.000  0.00
K 0.071 0.143 0.757  0.00
K 0.605 0.210 0.500  0.00
O 0.000 0.999 0.000  0.16
O 0.703 0.405 0.255  0.22
O 0.970 0.940 0.500  0.27
O 0.703 0.405 0.745  0.22
Rb 0.340 0.679 0.663  0.00
Rb 0.340 0.679 0.337  0.00
Rb 0.362 0.724 0.000  0.00

Results
The calculation puts the calculated total energy at -0.248 Ry per atom. The energy above the most stable polymorph in this dataset is 0.000 eV per atom. The formation energy (no corrections) is -0.91 eV/atom. As for the space-group type: Amm2, No. 38.

Record 2
A plane-wave DFT calculation with PBE was carried out for crystalline MgCd3Rh at its relaxed geometry.

Lattice parameters (Å, degrees): 4.563 5.686 7.944 90.00 89.96 90.00
Element x y z (fractional)
Cd 0.250 0.998 0.262
Cd 0.249 0.250 0.936
Cd 0.751 0.750 0.064
Cd 0.750 0.498 0.738
Cd 0.750 0.002 0.738
Cd 0.250 0.502 0.262
Rh 0.250 0.250 0.586
Rh 0.750 0.750 0.414
Mg 0.750 0.250 0.406
Mg 0.250 0.750 0.594

Results
The calculation puts the calculated total energy at -0.185 Ry per atom. The energy above the most stable polymorph in this dataset is 0.000 eV per atom. The value obtained for the formation energy is -0.176 eV/atom. As for the space-group type: Pmmn, No. 59.

Record 3
A plane-wave DFT calculation with PBE was carried out for crystalline Nb3FeP at its relaxed geometry.

Lattice parameters (Å, degrees): 4.561 4.561 4.561 90.00 90.00 90.00
Element x y z (fractional)
P 0.500 0.500 0.500
Nb 0.000 0.000 0.500
Nb 0.500 0.000 0.000
Nb 0.000 0.500 0.000
Fe 0.000 0.000 0.000

Results
The calculation puts the calculated total energy at -0.594 Ry per atom. The energy above the most stable polymorph in this dataset is 0.096 eV per atom. The value obtained for the formation energy is 0.732 eV/atom. As for the space-group type: Pm-3m, No. 221.